Pm3Sm4In2 | GGA-PBE | relaxed

a b c (Å): 5.4234 6.9130 8.6232
angles (deg): 103.67 90.05 113.09
Space group P-1 (No. 2)
One atom of each set of equivalent atoms:
1 Pm 0.0000 0.0000 0.0000 [1 per cell]
2 Pm 0.4238 0.8478 0.6518 [2 per cell]
3 Sm 0.1218 0.2441 0.6560 [2 per cell]
4 Sm 0.3304 0.6605 0.0370 [2 per cell]
5 In 0.2114 0.4228 0.3187 [2 per cell]

Properties
Magnetization   0.000 μB/atom
Energy of formation from the pure elements   -0.1903 eV per atom
E   -40.318 eV for the cell shown
Relative energy among the computed polymorphs   0.020 eV per atom

---

YRu2Se | GGA-PBE | relaxed

a b c (Å): 3.5902 3.8608 5.7917
angles (deg): 90.00 107.01 90.00
Space group Pm (No. 6)
One atom of each set of equivalent atoms:
1 Y 0.0000 0.0000 0.0000 [1 per cell]
2 Ru 0.5334 0.0000 0.4609 [1 per cell]
3 Ru 0.8536 0.5000 0.3522 [1 per cell]
4 Se 0.3657 0.5000 0.7448 [1 per cell]

Properties
Magnetization   0.000 μB/atom
E   -29.273 eV for the cell shown
Energy relative to the elements, uncorrected   -0.1931 eV per atom

---

CuTcSb2 | GGA-PBE | relaxed

a b c (Å): 3.9781 3.9781 9.4428
angles (deg): 90.00 90.00 90.00
Space group I-4m2 (No. 119)
One atom of each set of equivalent atoms:
1 Cu 0.0000 0.0000 0.0000 [2 per cell]
2 Tc 0.0000 0.5000 0.2500 [2 per cell]
3 Sb 0.0000 0.0000 0.5000 [2 per cell]
4 Sb 0.0000 0.5000 0.7500 [2 per cell]

Properties
Magnetization   0.001 μB/atom
E   -41.763 eV for the cell shown
Relative energy among the computed polymorphs   0.348 eV per atom
Energy relative to the elements, uncorrected   0.4564 eV per atom

---

Please write out number 1 again, unchanged.
Pm3Sm4In2 | GGA-PBE | relaxed

a b c (Å): 5.4234 6.9130 8.6232
angles (deg): 103.67 90.05 113.09
Space group P-1 (No. 2)
One atom of each set of equivalent atoms:
1 Pm 0.0000 0.0000 0.0000 [1 per cell]
2 Pm 0.4238 0.8478 0.6518 [2 per cell]
3 Sm 0.1218 0.2441 0.6560 [2 per cell]
4 Sm 0.3304 0.6605 0.0370 [2 per cell]
5 In 0.2114 0.4228 0.3187 [2 per cell]

Properties
Magnetization   0.000 μB/atom
Energy of formation from the pure elements   -0.1903 eV per atom
E   -40.318 eV for the cell shown
Relative energy among the computed polymorphs   0.020 eV per atom

---

What did the third record say?
CuTcSb2 | GGA-PBE | relaxed

a b c (Å): 3.9781 3.9781 9.4428
angles (deg): 90.00 90.00 90.00
Space group I-4m2 (No. 119)
One atom of each set of equivalent atoms:
1 Cu 0.0000 0.0000 0.0000 [2 per cell]
2 Tc 0.0000 0.5000 0.2500 [2 per cell]
3 Sb 0.0000 0.0000 0.5000 [2 per cell]
4 Sb 0.0000 0.5000 0.7500 [2 per cell]

Properties
Magnetization   0.001 μB/atom
E   -41.763 eV for the cell shown
Relative energy among the computed polymorphs   0.348 eV per atom
Energy relative to the elements, uncorrected   0.4564 eV per atom